Compound: LuMgRuRh
Source: the Alexandria database
Functional: PBE-GGA
Structure: optimized geometry

Cell lengths 4.573, 4.573, 4.573 Å; angles 60.00, 60.00, 60.00 degrees
Sites, in units of the cell vectors:
Ru (0.750, 0.750, 0.750)
Mg (0.000, 0.000, 0.000)
Rh (0.250, 0.250, 0.250)
Lu (0.500, 0.500, 0.500)

Results
DOS at the Fermi energy ... 0.699 states/eV/atom
Formation energy from the elements ... -0.46 eV per atom
Raw total energy ... -6.145 eV per atom
Crystal system ... cubic



Compound: La2MgInFe
Source: the Alexandria database
Functional: PBE-GGA
Structure: optimized geometry

Cell lengths 5.188, 5.188, 5.175 Å; angles 90.00, 90.00, 90.00 degrees
Site moments in Bohr magnetons follow the coordinates.
Sites, in units of the cell vectors:
In (0.000, 0.000, 0.500)  0.00
Mg (0.500, 0.500, 0.500)  0.00
La (0.500, 0.000, 0.000)  0.00
Fe (0.000, 0.000, 0.000)  0.06
La (0.000, 0.500, 0.000)  0.00

Results
DOS at the Fermi energy ... 1.033 states/eV/atom
Formation energy from the elements ... -0.12 eV per atom
Energy above the most stable polymorph in this dataset ... 0.000 eV/atom
Raw total energy ... -4.651 eV per atom
Crystal system ... tetragonal



Compound: Li2Y2ErTl2
Source: the Alexandria database
Functional: PBE-GGA
Structure: optimized geometry

Cell lengths 4.792, 4.792, 9.434 Å; angles 75.29, 75.29, 60.00 degrees
Sites, in units of the cell vectors:
Tl (0.263, 0.263, 0.210)
Y (0.126, 0.126, 0.621)
Li (0.395, 0.395, 0.816)
Li (0.605, 0.605, 0.184)
Y (0.874, 0.874, 0.379)
Tl (0.737, 0.737, 0.790)
Er (0.000, 0.000, 0.000)

Results
DOS at the Fermi energy ... 0.626 states/eV/atom
Formation energy from the elements ... -0.19 eV per atom
Raw total energy ... -3.908 eV per atom
Crystal system ... trigonal



Compound: CrIr2Pb
Source: the Alexandria database
Functional: PBE-GGA
Structure: optimized geometry

Cell lengths 2.944, 3.898, 5.904 Å; angles 90.00, 90.00, 90.00 degrees
Site moments in Bohr magnetons follow the coordinates.
Sites, in units of the cell vectors:
Ir (0.500, 0.500, 0.235)  0.02
Ir (0.000, 0.000, 0.972)  -0.18
Pb (0.000, 0.000, 0.489)  -0.01
Cr (0.500, 0.500, 0.805)  2.58

Results
DOS at the Fermi energy ... 1.088 states/eV/atom
Formation energy from the elements ... 0.41 eV per atom
Raw total energy ... -7.358 eV per atom
Crystal system ... orthorhombic



Copy entry 2 word for word.
Compound: La2MgInFe
Source: the Alexandria database
Functional: PBE-GGA
Structure: optimized geometry

Cell lengths 5.188, 5.188, 5.175 Å; angles 90.00, 90.00, 90.00 degrees
Site moments in Bohr magnetons follow the coordinates.
Sites, in units of the cell vectors:
In (0.000, 0.000, 0.500)  0.00
Mg (0.500, 0.500, 0.500)  0.00
La (0.500, 0.000, 0.000)  0.00
Fe (0.000, 0.000, 0.000)  0.06
La (0.000, 0.500, 0.000)  0.00

Results
DOS at the Fermi energy ... 1.033 states/eV/atom
Formation energy from the elements ... -0.12 eV per atom
Energy above the most stable polymorph in this dataset ... 0.000 eV/atom
Raw total energy ... -4.651 eV per atom
Crystal system ... tetragonal



Question: Which of these has the lowest formation energy from the elements?
Answer: LuMgRuRh